CrGaNi5 | GGA-PBE | relaxed

Cell lengths 3.5674, 3.5674, 6.7349 Å; angles 90.00, 90.00, 90.00 degrees
Closest atoms and distances in Å follow each position.
Positions (direct):
Cr  0.5000  0.5000  0.0000  8 Ni 2.36
Ga  0.0000  0.0000  0.5000  12 Ni 2.52-2.55
Ni  0.5000  0.5000  0.5000  4 Ga 2.52, 8 Ni 2.55
Ni  0.5000  0.0000  0.7702  2 Cr 2.36, 6 Ni 2.52-2.55, 2 Ga 2.55
Ni  0.5000  0.0000  0.2298  2 Cr 2.36, 6 Ni 2.52-2.55, 2 Ga 2.55
Ni  0.0000  0.5000  0.2298  2 Cr 2.36, 6 Ni 2.52-2.55, 2 Ga 2.55
Ni  0.0000  0.5000  0.7702  2 Cr 2.36, 6 Ni 2.52-2.55, 2 Ga 2.55

Output
The calculation puts the raw total energy at -5.819 eV per atom.

***

Pm2SmHoTl4 | GGA-PBE | relaxed

Cell lengths 5.4444, 5.4444, 9.4482 Å; angles 73.25, 73.25, 60.00 degrees
Closest atoms and distances in Å follow each position.
Positions (direct):
Pm  0.7506  0.7506  0.7483  8 Tl 3.30-3.38
Pm  0.2494  0.2494  0.2517  8 Tl 3.30-3.38
Tl  0.6241  0.6241  0.1277  1 Ho 3.32, 4 Pm 3.33-3.38, 3 Sm 3.34
Tl  0.3759  0.3759  0.8723  1 Ho 3.32, 4 Pm 3.33-3.38, 3 Sm 3.34
Tl  0.8742  0.8742  0.3775  4 Pm 3.30-3.34, 3 Ho 3.33, 1 Sm 3.36
Tl  0.1258  0.1258  0.6225  4 Pm 3.30-3.34, 3 Ho 3.33, 1 Sm 3.36
Sm  0.0000  0.0000  0.0000  8 Tl 3.34-3.36
Ho  0.5000  0.5000  0.5000  8 Tl 3.32-3.33

Output
The calculation puts the raw total energy at -3.900 eV per atom.

***

TbNdRu | GGA-PBE | relaxed

Cell lengths 3.4563, 3.4563, 7.1297 Å; angles 104.03, 104.03, 90.00 degrees
Closest atoms and distances in Å follow each position.
Positions (direct):
Ru  0.6706  0.6706  0.3412  4 Tb 2.92, 4 Nd 3.01
Nd  0.0390  0.0390  0.0781  4 Ru 3.01, 1 Tb 3.37
Tb  0.2904  0.2904  0.5808  4 Ru 2.92

Output
As for the polymorph energy (0 for the lowest one): 0.014 eV/atom. The calculation puts the raw total energy at -6.454 eV per atom.

***

Th2Ga4Cu3Ir | GGA-PBE | relaxed

Cell lengths 4.2765, 4.2765, 9.9724 Å; angles 90.00, 90.00, 90.00 degrees
Closest atoms and distances in Å follow each position.
Positions (direct):
Th  0.0000  0.5000  0.7416  8 Ga 3.22-3.35, 6 Cu 3.22-3.29, 2 Ir 3.22
Th  0.5000  0.0000  0.2584  8 Ga 3.22-3.35, 2 Ir 3.22, 6 Cu 3.22-3.29
Cu  0.5000  0.0000  0.8727  5 Ga 2.40-2.49
Cu  0.0000  0.5000  0.1273  5 Ga 2.40-2.49
Cu  0.0000  0.0000  0.5000  4 Ga 2.51
Ga  0.0000  0.5000  0.3680  3 Cu 2.40-2.51, 2 Ir 2.51
Ga  0.0000  0.0000  0.0000  4 Cu 2.49
Ga  0.5000  0.0000  0.6320  3 Cu 2.40-2.51, 2 Ir 2.51
Ga  0.5000  0.5000  0.0000  4 Cu 2.49
Ir  0.5000  0.5000  0.5000  4 Ga 2.51

Output
The calculation puts the raw total energy at -5.306 eV per atom.

***

Please write out number 3 again, unchanged.
TbNdRu | GGA-PBE | relaxed

Cell lengths 3.4563, 3.4563, 7.1297 Å; angles 104.03, 104.03, 90.00 degrees
Closest atoms and distances in Å follow each position.
Positions (direct):
Ru  0.6706  0.6706  0.3412  4 Tb 2.92, 4 Nd 3.01
Nd  0.0390  0.0390  0.0781  4 Ru 3.01, 1 Tb 3.37
Tb  0.2904  0.2904  0.5808  4 Ru 2.92

Output
As for the polymorph energy (0 for the lowest one): 0.014 eV/atom. The calculation puts the raw total energy at -6.454 eV per atom.

***

- Which of these has the highest raw total energy?
  Pm2SmHoTl4

***

- raw total energy of number 3 (TbNdRu)?
  -6.454 eV per atom